No. 1
VASP calculation (PBE) on a relaxed structure of DyLuCu.

## Properties
* VASP energy: -13.15 eV per cell
* space group: No. 216
* ΔE_f: 24 meV/atom

Geometry as CIF:
```
data_DyLuCu
_chemical_formula_sum 'Dy1 Lu1 Cu1'
_symmetry_space_group_name_H-M 'P 1'
_symmetry_Int_Tables_number 1
_cell_length_a 4.788
_cell_length_b 4.788
_cell_length_c 4.788
_cell_angle_alpha 60.00
_cell_angle_beta 60.00
_cell_angle_gamma 60.00
loop_
_symmetry_equiv_pos_as_xyz
'x,y,z'
loop_
_atom_site_label
_atom_site_fract_x
_atom_site_fract_y
_atom_site_fract_z
_atom_site_occupancy
Dy1 0.000 0.000 0.000 1
Lu1 0.500 0.500 0.500 1
Cu1 0.750 0.750 0.750 1
```

No. 2
VASP calculation (PBE) on a relaxed structure of PmHo3Sb3.

## Properties
* VASP energy: -151.10 eV per cell
* space group: No. 198
* formation energy from raw total energies: -989 meV/atom

Geometry as CIF:
```
data_PmHo3Sb3
_chemical_formula_sum 'Pm4 Ho12 Sb12'
_symmetry_space_group_name_H-M 'P 1'
_symmetry_Int_Tables_number 1
_cell_length_a 9.229
_cell_length_b 9.229
_cell_length_c 9.229
_cell_angle_alpha 90.00
_cell_angle_beta 90.00
_cell_angle_gamma 90.00
loop_
_symmetry_equiv_pos_as_xyz
'x,y,z'
loop_
_atom_site_label
_atom_site_fract_x
_atom_site_fract_y
_atom_site_fract_z
_atom_site_occupancy
Pm1 0.070 0.430 0.570 1
Pm2 0.430 0.570 0.070 1
Pm3 0.570 0.070 0.430 1
Pm4 0.930 0.930 0.930 1
Ho1 0.076 0.576 0.924 1
Ho2 0.178 0.822 0.322 1
Ho3 0.180 0.180 0.180 1
Ho4 0.320 0.820 0.680 1
Ho5 0.322 0.178 0.822 1
Ho6 0.424 0.424 0.424 1
Ho7 0.576 0.924 0.076 1
Ho8 0.678 0.678 0.678 1
Ho9 0.680 0.320 0.820 1
Ho10 0.820 0.680 0.320 1
Ho11 0.822 0.322 0.178 1
Ho12 0.924 0.076 0.576 1
Sb1 0.002 0.256 0.878 1
Sb2 0.122 0.502 0.244 1
Sb3 0.244 0.122 0.502 1
Sb4 0.256 0.878 0.002 1
Sb5 0.378 0.498 0.744 1
Sb6 0.498 0.744 0.378 1
Sb7 0.502 0.244 0.122 1
Sb8 0.622 0.998 0.756 1
Sb9 0.744 0.378 0.498 1
Sb10 0.756 0.622 0.998 1
Sb11 0.878 0.002 0.256 1
Sb12 0.998 0.756 0.622 1
```

No. 3
VASP calculation (PBE) on a relaxed structure of BeCdSi2.

## Properties
* VASP energy: -13.53 eV per cell
* space group: No. 160
* formation energy from raw total energies: 489 meV/atom

Geometry as CIF:
```
data_BeCdSi2
_chemical_formula_sum 'Be1 Cd1 Si2'
_symmetry_space_group_name_H-M 'P 1'
_symmetry_Int_Tables_number 1
_cell_length_a 9.410
_cell_length_b 9.410
_cell_length_c 9.410
_cell_angle_alpha 17.44
_cell_angle_beta 17.44
_cell_angle_gamma 17.44
loop_
_symmetry_equiv_pos_as_xyz
'x,y,z'
loop_
_atom_site_label
_atom_site_fract_x
_atom_site_fract_y
_atom_site_fract_z
_atom_site_occupancy
Be1 0.000 0.000 0.000 1
Cd1 0.751 0.751 0.751 1
Si1 0.273 0.273 0.273 1
Si2 0.537 0.537 0.537 1
```

No. 4
VASP calculation (PBE) on a relaxed structure of Ba2UBeSe5.

## Properties
* VASP energy: -98.83 eV per cell
* space group: No. 36
* formation energy from raw total energies: -1459 meV/atom

Geometry as CIF:
```
data_Ba2UBeSe5
_chemical_formula_sum 'Ba4 U2 Be2 Se10'
_symmetry_space_group_name_H-M 'P 1'
_symmetry_Int_Tables_number 1
_cell_length_a 9.488
_cell_length_b 9.488
_cell_length_c 13.556
_cell_angle_alpha 90.00
_cell_angle_beta 90.00
_cell_angle_gamma 154.21
loop_
_symmetry_equiv_pos_as_xyz
'x,y,z'
loop_
_atom_site_label
_atom_site_fract_x
_atom_site_fract_y
_atom_site_fract_z
_atom_site_occupancy
Ba1 0.119 0.881 0.500 1
Ba2 0.120 0.880 0.857 1
Ba3 0.880 0.120 0.357 1
Ba4 0.881 0.119 0.000 1
U1 0.192 0.808 0.188 1
U2 0.808 0.192 0.688 1
Be1 0.435 0.565 0.580 1
Be2 0.565 0.435 0.080 1
Se1 0.042 0.958 0.167 1
Se2 0.305 0.695 0.829 1
Se3 0.313 0.687 0.542 1
Se4 0.342 0.658 0.179 1
Se5 0.496 0.504 0.441 1
Se6 0.504 0.496 0.941 1
Se7 0.658 0.342 0.679 1
Se8 0.687 0.313 0.042 1
Se9 0.695 0.305 0.329 1
Se10 0.958 0.042 0.667 1
```

No. 5
VASP calculation (PBE) on a relaxed structure of Hf2ScOs.

## Properties
* VASP energy: -38.29 eV per cell
* space group: No. 225
* ΔE_f: -206 meV/atom

Geometry as CIF:
```
data_Hf2ScOs
_chemical_formula_sum 'Hf2 Sc1 Os1'
_symmetry_space_group_name_H-M 'P 1'
_symmetry_Int_Tables_number 1
_cell_length_a 4.752
_cell_length_b 4.752
_cell_length_c 4.752
_cell_angle_alpha 60.00
_cell_angle_beta 60.00
_cell_angle_gamma 60.00
loop_
_symmetry_equiv_pos_as_xyz
'x,y,z'
loop_
_atom_site_label
_atom_site_fract_x
_atom_site_fract_y
_atom_site_fract_z
_atom_site_occupancy
Hf1 0.250 0.250 0.250 1
Hf2 0.750 0.750 0.750 1
Sc1 0.000 0.000 0.000 1
Os1 0.500 0.500 0.500 1
```

No. 6
VASP calculation (PBE) on a relaxed structure of AcNd5Tl5.

## Properties
* VASP energy: -41.15 eV per cell
* space group: No. 12
* ΔE_f: -124 meV/atom

Geometry as CIF:
```
data_AcNd5Tl5
_chemical_formula_sum 'Ac1 Nd5 Tl5'
_symmetry_space_group_name_H-M 'P 1'
_symmetry_Int_Tables_number 1
_cell_length_a 8.776
_cell_length_b 8.776
_cell_length_c 7.507
_cell_angle_alpha 98.43
_cell_angle_beta 98.43
_cell_angle_gamma 42.08
loop_
_symmetry_equiv_pos_as_xyz
'x,y,z'
loop_
_atom_site_label
_atom_site_fract_x
_atom_site_fract_y
_atom_site_fract_z
_atom_site_occupancy
Ac1 0.000 0.000 0.000 1
Nd1 0.000 0.000 0.500 1
Nd2 0.319 0.319 0.100 1
Nd3 0.360 0.360 0.606 1
Nd4 0.640 0.640 0.394 1
Nd5 0.681 0.681 0.900 1
Tl1 0.172 0.172 0.318 1
Tl2 0.177 0.177 0.744 1
Tl3 0.500 0.500 0.000 1
Tl4 0.823 0.823 0.256 1
Tl5 0.828 0.828 0.682 1
```

No. 7
VASP calculation (PBE) on a relaxed structure of CsNaHg2Br6.

## Properties
* VASP energy: -22.11 eV per cell
* space group: No. 1
* formation energy from raw total energies: -930 meV/atom

Geometry as CIF:
```
data_CsNaHg2Br6
_chemical_formula_sum 'Cs1 Na1 Hg2 Br6'
_symmetry_space_group_name_H-M 'P 1'
_symmetry_Int_Tables_number 1
_cell_length_a 7.704
_cell_length_b 7.705
_cell_length_c 9.569
_cell_angle_alpha 90.00
_cell_angle_beta 66.26
_cell_angle_gamma 60.01
loop_
_symmetry_equiv_pos_as_xyz
'x,y,z'
loop_
_atom_site_label
_atom_site_fract_x
_atom_site_fract_y
_atom_site_fract_z
_atom_site_occupancy
Cs1 0.000 0.000 0.000 1
Na1 0.000 0.500 0.500 1
Hg1 0.463 0.768 0.306 1
Hg2 0.538 0.231 0.693 1
Br1 0.155 0.735 0.287 1
Br2 0.179 0.559 0.711 1
Br3 0.448 0.111 0.288 1
Br4 0.552 0.890 0.711 1
Br5 0.824 0.442 0.287 1
Br6 0.848 0.263 0.711 1
```

No. 8
VASP calculation (PBE) on a relaxed structure of Te2OsAu.

## Properties
* VASP energy: -19.32 eV per cell
* space group: No. 71
* formation energy from raw total energies: 367 meV/atom

Geometry as CIF:
```
data_Te2OsAu
_chemical_formula_sum 'Te2 Os1 Au1'
_symmetry_space_group_name_H-M 'P 1'
_symmetry_Int_Tables_number 1
_cell_length_a 6.878
_cell_length_b 6.878
_cell_length_c 6.878
_cell_angle_alpha 153.26
_cell_angle_beta 140.02
_cell_angle_gamma 48.75
loop_
_symmetry_equiv_pos_as_xyz
'x,y,z'
loop_
_atom_site_label
_atom_site_fract_x
_atom_site_fract_y
_atom_site_fract_z
_atom_site_occupancy
Te1 0.172 0.172 0.000 1
Te2 0.828 0.828 0.000 1
Os1 0.000 0.500 0.500 1
Au1 0.500 0.000 0.500 1
```

No. 9
VASP calculation (PBE) on a relaxed structure of Y2InW.

## Properties
* VASP energy: -27.33 eV per cell
* space group: No. 166
* ΔE_f: 322 meV/atom

Geometry as CIF:
```
data_Y2InW
_chemical_formula_sum 'Y2 In1 W1'
_symmetry_space_group_name_H-M 'P 1'
_symmetry_Int_Tables_number 1
_cell_length_a 10.382
_cell_length_b 10.382
_cell_length_c 10.382
_cell_angle_alpha 18.51
_cell_angle_beta 18.51
_cell_angle_gamma 18.51
loop_
_symmetry_equiv_pos_as_xyz
'x,y,z'
loop_
_atom_site_label
_atom_site_fract_x
_atom_site_fract_y
_atom_site_fract_z
_atom_site_occupancy
Y1 0.244 0.244 0.244 1
Y2 0.756 0.756 0.756 1
In1 0.000 0.000 0.000 1
W1 0.500 0.500 0.500 1
```

No. 10
VASP calculation (PBE) on a relaxed structure of SrScSeO5.

## Properties
* VASP energy: -106.03 eV per cell
* space group: No. 15
* formation energy from raw total energies: -2091 meV/atom

Geometry as CIF:
```
data_SrScSeO5
_chemical_formula_sum 'Sr2 Sc2 Se2 O10'
_symmetry_space_group_name_H-M 'P 1'
_symmetry_Int_Tables_number 1
_cell_length_a 5.900
_cell_length_b 5.900
_cell_length_c 7.816
_cell_angle_alpha 106.55
_cell_angle_beta 106.55
_cell_angle_gamma 102.17
loop_
_symmetry_equiv_pos_as_xyz
'x,y,z'
loop_
_atom_site_label
_atom_site_fract_x
_atom_site_fract_y
_atom_site_fract_z
_atom_site_occupancy
Sr1 0.181 0.819 0.750 1
Sr2 0.819 0.181 0.250 1
Sc1 0.500 0.500 0.000 1
Sc2 0.500 0.500 0.500 1
Se1 0.198 0.802 0.250 1
Se2 0.802 0.198 0.750 1
O1 0.103 0.254 0.902 1
O2 0.170 0.615 0.408 1
O3 0.254 0.103 0.402 1
O4 0.385 0.830 0.092 1
O5 0.447 0.553 0.750 1
O6 0.553 0.447 0.250 1
O7 0.615 0.170 0.908 1
O8 0.746 0.897 0.598 1
O9 0.830 0.385 0.592 1
O10 0.897 0.746 0.098 1
```

No. 11
VASP calculation (PBE) on a relaxed structure of KRbNaGe.

## Properties
* VASP energy: -7.53 eV per cell
* space group: No. 216
* ΔE_f: 117 meV/atom

Geometry as CIF:
```
data_KRbNaGe
_chemical_formula_sum 'K1 Rb1 Na1 Ge1'
_symmetry_space_group_name_H-M 'P 1'
_symmetry_Int_Tables_number 1
_cell_length_a 5.873
_cell_length_b 5.873
_cell_length_c 5.873
_cell_angle_alpha 60.00
_cell_angle_beta 60.00
_cell_angle_gamma 60.00
loop_
_symmetry_equiv_pos_as_xyz
'x,y,z'
loop_
_atom_site_label
_atom_site_fract_x
_atom_site_fract_y
_atom_site_fract_z
_atom_site_occupancy
K1 0.000 0.000 0.000 1
Rb1 0.750 0.750 0.750 1
Na1 0.500 0.500 0.500 1
Ge1 0.250 0.250 0.250 1
```